This record from OQMD describes CoCuPd after structural relaxation. The functional is GGA-PBE.

Computed properties:
Raw total energy   -4.88 eV per atom
Space group   F-43m
Relative energy among the computed polymorphs   0.00 eV per formula unit
Energy of formation   450 meV per atom

Cell: 3.9745 3.9745 3.9745 Å, 60.00 60.00 60.00°
Positions (direct):
Co 0.0000 0.0000 0.0000
Cu 0.7500 0.7500 0.7500
Pd 0.2500 0.2500 0.2500


This record from OQMD describes CoCu2Pd after structural relaxation. The functional is GGA-PBE.

Computed properties:
Raw total energy   -4.80 eV per atom
Space group   F-43m
Energy of formation   131 meV per atom

Cell: 4.1592 4.1592 4.1592 Å, 60.00 60.00 60.00°
Positions (direct):
Co 0.0000 0.0000 0.0000
Cu 0.2500 0.2500 0.2500
Cu 0.5000 0.5000 0.5000
Pd 0.7500 0.7500 0.7500


This record from OQMD describes CoCuSbPd after structural relaxation. The functional is GGA-PBE.

Computed properties:
Raw total energy   -5.03 eV per atom
Space group   F-43m
Relative energy among the computed polymorphs   0.00 eV per formula unit

Cell: 4.3646 4.3646 4.3646 Å, 60.00 60.00 60.00°
Positions (direct):
Co 0.0000 0.0000 0.0000
Cu 0.5000 0.5000 0.5000
Sb 0.7500 0.7500 0.7500
Pd 0.2500 0.2500 0.2500


This record from OQMD describes CoCuSiPd after structural relaxation. The functional is GGA-PBE.

Computed properties:
Raw total energy   -5.46 eV per atom
Space group   F-43m
Relative energy among the computed polymorphs   0.00 eV per formula unit

Cell: 4.1337 4.1337 4.1337 Å, 60.00 60.00 60.00°
Positions (direct):
Co 0.0000 0.0000 0.0000
Cu 0.5000 0.5000 0.5000
Si 0.7500 0.7500 0.7500
Pd 0.2500 0.2500 0.2500


This record from OQMD describes CoCuSnPd after structural relaxation. The functional is GGA-PBE.

Computed properties:
Raw total energy   -5.05 eV per atom
Space group   F-43m
Relative energy among the computed polymorphs   0.00 eV per formula unit

Cell: 4.3469 4.3469 4.3469 Å, 60.00 60.00 60.00°
Positions (direct):
Co 0.0000 0.0000 0.0000
Cu 0.5000 0.5000 0.5000
Sn 0.7500 0.7500 0.7500
Pd 0.2500 0.2500 0.2500


This record from OQMD describes TlCoCuPd after structural relaxation. The functional is GGA-PBE.

Computed properties:
Raw total energy   -4.36 eV per atom
Space group   F-43m
Relative energy among the computed polymorphs   0.00 eV per formula unit

Cell: 4.4108 4.4108 4.4108 Å, 60.00 60.00 60.00°
Positions (direct):
Tl 0.0000 0.0000 0.0000
Co 0.2500 0.2500 0.2500
Cu 0.5000 0.5000 0.5000
Pd 0.7500 0.7500 0.7500


This record from OQMD describes PrCoCu2Sb4 after structural relaxation. The functional is GGA-PBE.

Computed properties:
Raw total energy   -4.59 eV per atom
Space group   P4mm

Cell: 4.3396 4.3396 9.2299 Å, 90.00 90.00 90.00°
Positions (direct):
Pr 0.0000 0.0000 0.0000
Co 0.5000 0.5000 0.4519
Cu 0.0000 0.5000 0.7250
Cu 0.5000 0.0000 0.7250
Sb 0.0000 0.0000 0.5611
Sb 0.0000 0.5000 0.2840
Sb 0.5000 0.0000 0.2840
Sb 0.5000 0.5000 0.9014


This record from OQMD describes PrCoCuSi2 after structural relaxation. The functional is GGA-PBE.

Computed properties:
Raw total energy   -5.89 eV per atom
Space group   I-4m2

Cell: 5.7099 5.7099 5.7099 Å, 138.22 138.22 60.57°
Positions (direct):
Pr 0.0000 0.0000 0.0000
Co 0.2500 0.7500 0.5000
Cu 0.7500 0.2500 0.5000
Si 0.3712 0.3712 0.0000
Si 0.6288 0.6288 0.0000


This record from OQMD describes Pr2CoCuSn4 after structural relaxation. The functional is GGA-PBE.

Computed properties:
Raw total energy   -5.04 eV per atom
Space group   Amm2

Cell: 4.5810 9.5215 9.5215 Å, 27.14 90.00 90.00°
Positions (direct):
Pr 0.0000 0.0000 0.0000
Pr 0.5000 0.2190 0.2190
Co 0.5000 0.4219 0.4219
Cu 0.0000 0.7812 0.7812
Sn 0.0000 0.3610 0.3610
Sn 0.0000 0.6466 0.6466
Sn 0.5000 0.5548 0.5548
Sn 0.5000 0.8580 0.8580


This record from OQMD describes PuCoCu after structural relaxation. The functional is GGA-PBE.

Computed properties:
Raw total energy   -7.85 eV per atom
Space group   F-43m
Relative energy among the computed polymorphs   0.00 eV per formula unit
Energy of formation   471 meV per atom

Cell: 4.2290 4.2290 4.2290 Å, 60.00 60.00 60.00°
Positions (direct):
Pu 0.0000 0.0000 0.0000
Co 0.5000 0.5000 0.5000
Cu 0.7500 0.7500 0.7500


This record from OQMD describes PuCoCu after structural relaxation. The functional is GGA-PBE.

Computed properties:
Raw total energy   -7.02 eV per atom
Space group   F-43m
Relative energy among the computed polymorphs   2.48 eV per formula unit
Energy of formation   1299 meV per atom

Cell: 4.2296 4.2296 4.2296 Å, 60.00 60.00 60.00°
Positions (direct):
Pu 0.0000 0.0000 0.0000
Co 0.2500 0.2500 0.2500
Cu 0.7500 0.7500 0.7500


This record from OQMD describes RbCoCu after structural relaxation. The functional is GGA-PBE.

Computed properties:
Raw total energy   -2.06 eV per atom
Space group   F-43m
Relative energy among the computed polymorphs   1.52 eV per formula unit

Cell: 5.1195 5.1195 5.1195 Å, 60.00 60.00 60.00°
Positions (direct):
Rb 0.0000 0.0000 0.0000
Co 0.7500 0.7500 0.7500
Cu 0.2500 0.2500 0.2500


This record from OQMD describes RbCoCu after structural relaxation. The functional is GGA-PBE.

Computed properties:
Raw total energy   -2.56 eV per atom
Space group   F-43m
Relative energy among the computed polymorphs   0.00 eV per formula unit

Cell: 4.9225 4.9225 4.9225 Å, 60.00 60.00 60.00°
Positions (direct):
Rb 0.0000 0.0000 0.0000
Co 0.5000 0.5000 0.5000
Cu 0.7500 0.7500 0.7500


This record from OQMD describes RbCoCuSeS2 after structural relaxation. The functional is GGA-PBE.

Computed properties:
Raw total energy   -4.35 eV per atom
Space group   Cmcm

Cell: 7.8398 7.8398 9.4921 Å, 90.00 90.00 154.34°
Positions (direct):
Rb 0.2420 0.7580 0.7500
Rb 0.7580 0.2420 0.2500
Co 0.0000 0.0000 0.0000
Co 0.0000 0.0000 0.5000
Cu 0.4546 0.5454 0.2500
Cu 0.5454 0.4546 0.7500
Se 0.0624 0.9376 0.2500
Se 0.9376 0.0624 0.7500
S 0.4015 0.5985 0.0325
S 0.4015 0.5985 0.4675
S 0.5985 0.4015 0.5325
S 0.5985 0.4015 0.9675


This record from OQMD describes RbCoCuTe2S after structural relaxation. The functional is GGA-PBE.

Computed properties:
Raw total energy   -3.95 eV per atom
Space group   Cmcm

Cell: 8.2299 8.2299 10.0576 Å, 90.00 90.00 153.36°
Positions (direct):
Rb 0.2416 0.7584 0.7500
Rb 0.7584 0.2416 0.2500
Co 0.5000 0.5000 0.0000
Co 0.5000 0.5000 0.5000
Cu 0.0246 0.9754 0.2500
Cu 0.9754 0.0246 0.7500
Te 0.1072 0.8928 0.0339
Te 0.1072 0.8928 0.4661
Te 0.8928 0.1072 0.5339
Te 0.8928 0.1072 0.9661
S 0.4470 0.5530 0.2500
S 0.5530 0.4470 0.7500


This record from OQMD describes RbCoCuTeSe2 after structural relaxation. The functional is GGA-PBE.

Computed properties:
Raw total energy   -4.02 eV per atom
Space group   Cmcm

Cell: 8.2529 8.2529 10.0396 Å, 90.00 90.00 154.44°
Positions (direct):
Rb 0.2349 0.7651 0.7500
Rb 0.7651 0.2349 0.2500
Co 0.0000 0.0000 0.0000
Co 0.0000 0.0000 0.5000
Cu 0.4513 0.5487 0.2500
Cu 0.5487 0.4513 0.7500
Te 0.0650 0.9350 0.2500
Te 0.9350 0.0650 0.7500
Se 0.4004 0.5996 0.0305
Se 0.4004 0.5996 0.4695
Se 0.5996 0.4004 0.5305
Se 0.5996 0.4004 0.9695


This record from OQMD describes RbCoCuTe2Se after structural relaxation. The functional is GGA-PBE.

Computed properties:
Raw total energy   -3.87 eV per atom
Space group   Cmcm

Cell: 8.2726 8.2726 10.2178 Å, 90.00 90.00 153.28°
Positions (direct):
Rb 0.2503 0.7497 0.7500
Rb 0.7497 0.2503 0.2500
Co 0.0000 0.0000 0.0000
Co 0.0000 0.0000 0.5000
Cu 0.4661 0.5339 0.2500
Cu 0.5339 0.4661 0.7500
Te 0.3932 0.6068 0.0295
Te 0.3932 0.6068 0.4705
Te 0.6068 0.3932 0.5295
Te 0.6068 0.3932 0.9705
Se 0.0563 0.9437 0.2500
Se 0.9437 0.0563 0.7500


This record from OQMD describes CoCuReSi after structural relaxation. The functional is GGA-PBE.

Computed properties:
Raw total energy   -7.08 eV per atom
Space group   F-43m
Relative energy among the computed polymorphs   0.14 eV per formula unit

Cell: 4.1162 4.1162 4.1162 Å, 60.00 60.00 60.00°
Positions (direct):
Co 0.0000 0.0000 0.0000
Cu 0.2500 0.2500 0.2500
Re 0.7500 0.7500 0.7500
Si 0.5000 0.5000 0.5000


This record from OQMD describes CoCuReSi after structural relaxation. The functional is GGA-PBE.

Computed properties:
Raw total energy   -7.11 eV per atom
Space group   F-43m
Relative energy among the computed polymorphs   0.00 eV per formula unit

Cell: 4.0929 4.0929 4.0929 Å, 60.00 60.00 60.00°
Positions (direct):
Co 0.0000 0.0000 0.0000
Cu 0.7500 0.7500 0.7500
Re 0.5000 0.5000 0.5000
Si 0.2500 0.2500 0.2500


This record from OQMD describes CoCuReSn after structural relaxation. The functional is GGA-PBE.

Computed properties:
Raw total energy   -6.37 eV per atom
Space group   F-43m
Relative energy among the computed polymorphs   0.00 eV per formula unit

Cell: 4.3376 4.3376 4.3376 Å, 60.00 60.00 60.00°
Positions (direct):
Co 0.0000 0.0000 0.0000
Cu 0.5000 0.5000 0.5000
Re 0.2500 0.2500 0.2500
Sn 0.7500 0.7500 0.7500


This record from OQMD describes TlCoCuRe after structural relaxation. The functional is GGA-PBE.

Computed properties:
Raw total energy   -5.66 eV per atom
Space group   F-43m
Relative energy among the computed polymorphs   0.00 eV per formula unit

Cell: 4.3643 4.3643 4.3643 Å, 60.00 60.00 60.00°
Positions (direct):
Tl 0.0000 0.0000 0.0000
Co 0.2500 0.2500 0.2500
Cu 0.7500 0.7500 0.7500
Re 0.5000 0.5000 0.5000


This record from OQMD describes ZnCoCuRe after structural relaxation. The functional is GGA-PBE.

Computed properties:
Raw total energy   -5.83 eV per atom
Space group   F-43m
Relative energy among the computed polymorphs   0.00 eV per formula unit
Energy of formation   295 meV per atom

Cell: 4.1471 4.1471 4.1471 Å, 60.00 60.00 60.00°
Positions (direct):
Zn 0.0000 0.0000 0.0000
Co 0.2500 0.2500 0.2500
Cu 0.7500 0.7500 0.7500
Re 0.5000 0.5000 0.5000


This record from OQMD describes ZnCoCuRe after structural relaxation. The functional is GGA-PBE.

Computed properties:
Raw total energy   -5.65 eV per atom
Space group   F-43m
Relative energy among the computed polymorphs   0.74 eV per formula unit
Energy of formation   481 meV per atom

Cell: 4.1555 4.1555 4.1555 Å, 60.00 60.00 60.00°
Positions (direct):
Zn 0.0000 0.0000 0.0000
Co 0.2500 0.2500 0.2500
Cu 0.5000 0.5000 0.5000
Re 0.7500 0.7500 0.7500


This record from OQMD describes Co2CuS6 after structural relaxation. The functional is GGA-PBE.

Computed properties:
Raw total energy   -5.00 eV per atom
Space group   P1
Relative energy among the computed polymorphs   0.03 eV per formula unit

Cell: 5.5543 5.5614 16.8024 Å, 89.75 89.91 89.93°
Positions (direct):
Co 0.0000 0.0000 0.0000
Co 0.9995 0.0079 0.6720
Co 0.4941 0.5043 0.6712
Co 0.4963 0.5041 0.0018
Co 0.4975 0.0042 0.8359
Co 0.4991 0.5070 0.3457
Co 0.5008 0.0035 0.5105
Co 0.9969 0.5075 0.5095
Cu 0.5007 0.0070 0.1720
Cu 0.9962 0.5067 0.8357
Cu 0.9972 0.5073 0.1741
Cu 0.9976 0.0079 0.3398
S 0.1027 0.1091 0.2051
S 0.1084 0.1137 0.5449
S 0.1126 0.1006 0.8743
S 0.1134 0.3836 0.0340
S 0.1132 0.3875 0.7046
S 0.1133 0.4098 0.3815
S 0.3785 0.8828 0.0342
S 0.3850 0.6166 0.5459
S 0.3850 0.8913 0.7094
S 0.3985 0.8927 0.3819
S 0.3996 0.6091 0.2132
S 0.4014 0.6192 0.8746
S 0.5941 0.3880 0.7981
S 0.5968 0.1292 0.3100
S 0.5981 0.4062 0.1329
S 0.6087 0.3930 0.4719
S 0.6100 0.1143 0.9653
S 0.6100 0.1160 0.6354
S 0.8777 0.6080 0.3095
S 0.8805 0.6172 0.9700
S 0.8808 0.9074 0.7979
S 0.8826 0.8885 0.4764
S 0.8858 0.6137 0.6361
S 0.8988 0.9047 0.1302


This record from OQMD describes Co3CuS5 after structural relaxation. The functional is GGA-PBE.

Computed properties:
Raw total energy   -4.98 eV per atom
Space group   P6/mmm

Cell: 5.2953 5.2953 6.2330 Å, 90.00 90.00 120.00°
Positions (direct):
Co 0.0000 0.5000 0.0000
Co 0.5000 0.0000 0.0000
Co 0.5000 0.5000 0.0000
Cu 0.0000 0.0000 0.5000
S 0.0000 0.0000 0.0000
S 0.3333 0.6667 0.2541
S 0.3333 0.6667 0.7459
S 0.6667 0.3333 0.2541
S 0.6667 0.3333 0.7459